# BaCr2SiBi

Crystalline BaCr2SiBi at its relaxed geometry (GGA-PBE, Alexandria via LeMat-Bulk).

Summary:
Raw formation energy: 2116.9 meV/atom

a b c (Å): 5.727 5.727 6.259
angles (deg): 90.00 90.00 90.00
Positions (direct):
1 Ba 0.000 0.000 0.000
2 Cr 0.000 0.500 0.000
3 Cr 0.500 0.000 0.000
4 Si 0.500 0.500 0.500
5 Bi 0.000 0.000 0.500

---

# Rb2Te2P

Crystalline Rb2Te2P at its relaxed geometry (GGA-PBE, Alexandria via LeMat-Bulk).

Summary:
Raw formation energy: -285.1 meV/atom
E above lowest polymorph: 0.0 kJ per mole of atoms

a b c (Å): 6.561 6.561 6.561
angles (deg): 113.23 113.23 102.20
Positions (direct):
1 Rb 0.250 0.750 0.500
2 Rb 0.750 0.250 0.500
3 Te 0.184 0.184 0.000
4 Te 0.816 0.816 0.000
5 P 0.500 0.500 0.000

---

# Ti2AlS6

Crystalline Ti2AlS6 at its relaxed geometry (GGA-PBE, Alexandria via LeMat-Bulk).

Summary:
Raw formation energy: -958.9 meV/atom

a b c (Å): 5.776 5.776 10.502
angles (deg): 90.00 90.00 90.00
Positions (direct):
1 Ti 0.000 0.000 0.162
2 Ti 0.000 0.000 0.838
3 Ti 0.500 0.500 0.338
4 Ti 0.500 0.500 0.662
5 Al 0.000 0.000 0.500
6 Al 0.500 0.500 0.000
7 S 0.197 0.197 0.332
8 S 0.197 0.197 0.668
9 S 0.202 0.202 0.000
10 S 0.298 0.702 0.500
11 S 0.303 0.697 0.168
12 S 0.303 0.697 0.832
13 S 0.697 0.303 0.168
14 S 0.697 0.303 0.832
15 S 0.702 0.298 0.500
16 S 0.798 0.798 0.000
17 S 0.803 0.803 0.332
18 S 0.803 0.803 0.668

---

# Fe3Au

Crystalline Fe3Au at its relaxed geometry (GGA-PBE, Alexandria via LeMat-Bulk).

Summary:
Energy of formation: 0.15 eV per atom

a b c (Å): 5.246 5.246 4.047
angles (deg): 90.00 90.00 76.52
Positions (direct):
1 Fe 0.098 0.902 0.750
2 Fe 0.134 0.381 0.750
3 Fe 0.381 0.134 0.250
4 Fe 0.619 0.866 0.750
5 Fe 0.866 0.619 0.250
6 Fe 0.902 0.098 0.250
7 Au 0.353 0.647 0.250
8 Au 0.647 0.353 0.750

---

# SiSnSe3

Crystalline SiSnSe3 at its relaxed geometry (GGA-PBE, Alexandria via LeMat-Bulk).

Summary:
Raw formation energy: -440.2 meV/atom

a b c (Å): 7.893 11.090 7.095
angles (deg): 90.00 105.44 90.00
Positions (direct):
1 Si 0.199 0.217 0.016
2 Si 0.199 0.283 0.516
3 Si 0.801 0.717 0.484
4 Si 0.801 0.783 0.984
5 Sn 0.378 0.564 0.221
6 Sn 0.378 0.936 0.721
7 Sn 0.622 0.064 0.279
8 Sn 0.622 0.436 0.779
9 Se 0.008 0.229 0.702
10 Se 0.008 0.271 0.202
11 Se 0.278 0.018 0.075
12 Se 0.278 0.482 0.575
13 Se 0.451 0.173 0.596
14 Se 0.451 0.327 0.096
15 Se 0.549 0.673 0.904
16 Se 0.549 0.827 0.404
17 Se 0.722 0.518 0.425
18 Se 0.722 0.982 0.925
19 Se 0.992 0.729 0.798
20 Se 0.992 0.771 0.298

---

# KHg2Pt

Crystalline KHg2Pt at its relaxed geometry (GGA-PBE, Alexandria via LeMat-Bulk).

Summary:
Energy of formation: 0.13 eV per atom
E above lowest polymorph: 29.4 kJ per mole of atoms

a b c (Å): 10.101 10.101 10.101
angles (deg): 19.17 19.17 19.17
Positions (direct):
1 K 0.000 0.000 0.000
2 Hg 0.238 0.238 0.238
3 Hg 0.762 0.762 0.762
4 Pt 0.500 0.500 0.500

---

no.,size of the total moment (μB per atom)
1,2.01
2,0.00
3,0.00
4,2.01
5,0.00
6,0.00